Sr2CdSb GGA-PBE relaxed; uncorrected formation energy = -0.522 eV per atom; ΔE to the lowest computed polymorph = 195 meV/atom; spin magnetization = 0.00 μB/cell; DOS(E_F) = 3.2 states/eV/cell
1.0
-2.398 2.398 5.898
2.398 -2.398 5.898
2.398 2.398 -5.898
Sr Cd Sb
2 1 1
direct
0.000 0.000 0.000
0.750 0.250 0.500
0.250 0.750 0.500
0.500 0.500 0.000

SrCd2Sb GGA-PBE relaxed; uncorrected formation energy = -0.243 eV per atom; spin magnetization = 0.00 μB/cell; DOS(E_F) = 1.4 states/eV/cell
1.0
3.265 -6.043 0.000
3.265 6.043 0.000
-1.849 0.000 2.986
Sr Cd Sb
1 2 1
direct
0.000 0.000 0.000
0.000 0.500 0.500
0.500 0.000 0.500
0.500 0.500 0.000

Sr2Cd2Sb GGA-PBE relaxed; uncorrected formation energy = -0.444 eV per atom; ΔE to the lowest computed polymorph = 15 meV/atom; spin magnetization = 0.00 μB/cell; DOS(E_F) = 6.3 states/eV/cell
1.0
8.173 0.000 0.000
0.000 8.173 0.000
0.000 0.000 4.834
Sr Cd Sb
4 4 2
direct
0.179 0.321 0.000
0.321 0.821 0.000
0.679 0.179 0.000
0.821 0.679 0.000
0.124 0.624 0.500
0.376 0.124 0.500
0.624 0.876 0.500
0.876 0.376 0.500
0.000 0.000 0.500
0.500 0.500 0.500

SrCdSb2 GGA-PBE relaxed; uncorrected formation energy = -0.268 eV per atom; spin magnetization = 0.00 μB/cell; DOS(E_F) = 2.5 states/eV/cell
1.0
4.144 0.000 0.000
0.000 4.144 0.000
0.000 0.000 7.161
Sr Cd Sb
1 1 2
direct
0.000 0.000 0.000
0.500 0.500 0.277
0.000 0.000 0.525
0.500 0.500 0.695

SrCdSb GGA-PBE relaxed; uncorrected formation energy = -0.434 eV per atom; ΔE to the lowest computed polymorph = 241 meV/atom; spin magnetization = 0.00 μB/cell; DOS(E_F) = 2.1 states/eV/cell
1.0
0.000 3.799 3.799
3.799 0.000 3.799
3.799 3.799 0.000
Sr Cd Sb
1 1 1
direct
0.000 0.000 0.000
0.500 0.500 0.500
0.750 0.750 0.750

Sr2CdSb GGA-PBE relaxed; uncorrected formation energy = -0.638 eV per atom; ΔE to the lowest computed polymorph = 78 meV/atom; spin magnetization = 0.00 μB/cell; DOS(E_F) = 4.1 states/eV/cell
1.0
0.000 4.065 4.065
4.065 0.000 4.065
4.065 4.065 0.000
Sr Cd Sb
2 1 1
direct
0.250 0.250 0.250
0.750 0.750 0.750
0.000 0.000 0.000
0.500 0.500 0.500

SrCd3Sb3 GGA-PBE relaxed; uncorrected formation energy = -0.264 eV per atom; ΔE to the lowest computed polymorph = 42 meV/atom; spin magnetization = 0.00 μB/cell; DOS(E_F) = 8.3 states/eV/cell
1.0
11.512 0.000 0.000
-5.756 9.970 0.000
0.000 0.000 4.601
Sr Cd Sb
2 6 6
direct
0.333 0.667 0.250
0.667 0.333 0.750
0.060 0.397 0.750
0.337 0.940 0.750
0.397 0.337 0.250
0.603 0.663 0.750
0.663 0.060 0.250
0.940 0.603 0.250
0.107 0.681 0.750
0.319 0.425 0.750
0.425 0.107 0.250
0.575 0.893 0.750
0.681 0.575 0.250
0.893 0.319 0.250

Sr2Cd2Sb GGA-PBE relaxed; uncorrected formation energy = -0.215 eV per atom; ΔE to the lowest computed polymorph = 244 meV/atom; spin magnetization = 0.00 μB/cell; DOS(E_F) = 3.9 states/eV/cell
1.0
-3.210 3.210 4.350
3.210 -3.210 4.350
3.210 3.210 -4.350
Sr Cd Sb
2 2 1
direct
0.250 0.750 0.500
0.750 0.250 0.500
0.155 0.155 0.000
0.845 0.845 0.000
0.500 0.500 0.000